1.
An optimized crystal structure of Ta3HPt, computed with PBE.

space-group type: Pm-3m, No. 221
energy above the most stable polymorph in this dataset: 0 meV/atom
V: 14.31 Å³/atom
density of states at the Fermi level: 7.25 states/eV per cell

Structure (extended XYZ):
```
5
Lattice="4.152 0.000 0.000 0.000 4.152 0.000 0.000 0.000 4.152" Properties=species:S:1:pos:R:3 pbc="T T T"
Ta 0.000 0.000 2.076
Ta 0.000 2.076 0.000
Ta 2.076 0.000 0.000
H 0.000 0.000 0.000
Pt 2.076 2.076 2.076
```

2.
An optimized crystal structure of SiOs4Pb, computed with PBE.

space-group type: F-43m, No. 216
E_form (uncorrected): 1.018 eV/atom
V: 17.27 Å³/atom
density of states at the Fermi level: 8.48 states/eV per cell

Structure (extended XYZ):
```
6
Lattice="0.000 3.728 3.728 3.728 0.000 3.728 3.728 3.728 0.000" Properties=species:S:1:pos:R:3 pbc="T T T"
Si 0.000 0.000 0.000
Os 2.792 2.792 2.792
Os 4.663 4.663 2.792
Os 4.663 2.792 4.663
Os 2.792 4.663 4.663
Pb 5.591 5.591 5.591
```

3.
An optimized crystal structure of ThSc2Te4, computed with PBE.

space-group type: Cmcm, No. 63
E_form (uncorrected): -1.142 eV/atom
V: 29.72 Å³/atom
density of states at the Fermi level: 10.31 states/eV per cell

Structure (extended XYZ):
```
14
Lattice="2.103 -6.861 0.000 2.103 6.861 0.000 0.000 0.000 14.421" Properties=species:S:1:pos:R:3 pbc="T T T"
Th 2.103 5.162 10.816
Th 2.103 -5.162 3.605
Sc 2.103 1.808 8.124
Sc 2.103 1.808 13.507
Sc 2.103 -1.808 0.914
Sc 2.103 -1.808 6.296
Te 0.000 0.000 0.000
Te 0.000 0.000 7.210
Te 2.103 3.136 1.704
Te 2.103 3.136 5.506
Te 2.103 0.665 10.816
Te 2.103 -0.665 3.605
Te 2.103 -3.136 8.915
Te 2.103 -3.136 12.717
```

4.
An optimized crystal structure of Nd3GeSb2Rh9, computed with PBE.

space-group type: P-3m1, No. 164
E_form (uncorrected): -0.274 eV/atom
V: 22.41 Å³/atom
density of states at the Fermi level: 4.30 states/eV per cell

Structure (extended XYZ):
```
15
Lattice="6.684 0.000 0.000 -3.342 5.788 0.000 0.000 0.000 8.689" Properties=species:S:1:pos:R:3 pbc="T T T"
Nd 0.000 0.000 0.000
Nd 0.000 3.859 6.357
Nd 3.342 1.929 2.332
Ge 0.000 0.000 4.345
Sb 0.000 3.859 1.731
Sb 3.342 1.929 6.959
Rh -1.671 2.894 0.000
Rh 0.000 1.527 2.425
Rh -2.019 5.025 2.425
Rh 1.322 0.763 6.264
Rh 3.342 0.000 0.000
Rh 1.671 2.894 0.000
Rh 2.019 5.025 2.425
Rh 5.361 0.763 6.264
Rh 3.342 4.261 6.264
```

5.
An optimized crystal structure of DyHo2Hf, computed with PBE.

E_form: 0.103 eV per atom
space-group type: R3m, No. 160
energy above the most stable polymorph in this dataset: 0 meV/atom
V: 28.36 Å³/atom
density of states at the Fermi level: 18.10 states/eV per cell

Structure (extended XYZ):
```
12
Lattice="3.431 0.000 0.000 -1.716 2.972 0.000 0.000 0.000 33.369" Properties=species:S:1:pos:R:3 pbc="T T T"
Dy 0.000 0.000 0.000
Dy 0.000 1.981 22.246
Dy 1.716 0.991 11.123
Ho 0.000 0.000 19.290
Ho 0.000 0.000 25.194
Ho 0.000 1.981 8.167
Ho 0.000 1.981 14.071
Ho 1.716 0.991 2.947
Ho 1.716 0.991 30.414
Hf 0.000 0.000 5.551
Hf 0.000 1.981 27.797
Hf 1.716 0.991 16.674
```

6.
An optimized crystal structure of Dy4GaPbN, computed with PBE.

space-group type: Cmcm, No. 63
E_form (uncorrected): -0.826 eV/atom
V: 24.78 Å³/atom
density of states at the Fermi level: 3.19 states/eV per cell

Structure (extended XYZ):
```
14
Lattice="3.306 -7.928 0.000 3.306 7.928 0.000 0.000 0.000 6.619" Properties=species:S:1:pos:R:3 pbc="T T T"
Dy 1.653 3.964 0.000
Dy 1.653 3.964 3.310
Dy 3.306 6.660 4.965
Dy 3.306 1.455 4.965
Dy 1.653 -3.964 0.000
Dy 1.653 -3.964 3.310
Dy 3.306 -1.455 1.655
Dy 3.306 -6.660 1.655
Ga 3.306 6.096 1.655
Ga 3.306 -6.096 4.965
Pb 3.306 1.672 1.655
Pb 3.306 -1.672 4.965
N 3.306 3.915 4.965
N 3.306 -3.915 1.655
```

7.
An optimized crystal structure of ScFeAg4, computed with PBE.

E_form: 0.272 eV per atom
space-group type: F-43m, No. 216
V: 18.84 Å³/atom
density of states at the Fermi level: 12.01 states/eV per cell

Structure (extended XYZ):
```
6
Lattice="0.000 3.838 3.838 3.838 0.000 3.838 3.838 3.838 0.000" Properties=species:S:1:pos:R:3 pbc="T T T"
Sc 0.000 0.000 0.000
Fe 1.919 1.919 1.919
Ag 4.795 2.880 2.880
Ag 2.880 4.795 2.880
Ag 2.880 2.880 4.795
Ag 4.795 4.795 4.795
```

8.
An optimized crystal structure of SrS2O2, computed with PBE.

space-group type: I4/mmm, No. 139
energy above the most stable polymorph in this dataset: 155 meV/atom
E_form (uncorrected): -0.499 eV/atom
V: 15.68 Å³/atom
density of states at the Fermi level: 0.72 states/eV per cell

Structure (extended XYZ):
```
10
Lattice="4.496 0.000 0.000 0.000 4.496 0.000 0.000 0.000 7.755" Properties=species:S:1:pos:R:3 pbc="T T T"
Sr 0.000 0.000 0.000
Sr 2.248 2.248 3.878
S 0.000 0.000 2.952
S 0.000 0.000 4.803
S 2.248 2.248 0.926
S 2.248 2.248 6.830
O 0.000 2.248 1.939
O 0.000 2.248 5.816
O 2.248 0.000 1.939
O 2.248 0.000 5.816
```

9.
An optimized crystal structure of AcSnHPt, computed with PBE.

space-group type: P-6m2, No. 187
V: 20.14 Å³/atom
density of states at the Fermi level: 1.11 states/eV per cell
energy: -5.156 eV/atom

Structure (extended XYZ):
```
4
Lattice="4.879 0.000 0.000 -2.440 4.226 0.000 0.000 0.000 3.907" Properties=species:S:1:pos:R:3 pbc="T T T"
Ac 0.000 0.000 0.000
Sn 0.000 2.817 1.954
H 2.440 1.409 0.000
Pt 2.440 1.409 1.954
```

10.
An optimized crystal structure of MnVInCl6, computed with PBE.

space-group type: P312, No. 149
E_form (uncorrected): -1.094 eV/atom
V: 27.60 Å³/atom
density of states at the Fermi level: 8.39 states/eV per cell

Structure (extended XYZ):
```
9
Lattice="6.450 0.000 0.000 -3.225 5.586 0.000 0.000 0.000 6.895" Properties=species:S:1:pos:R:3 pbc="T T T"
Mn 0.000 0.000 0.000
V 0.000 3.724 0.000
In 3.225 1.862 3.447
Cl -0.824 1.940 1.388
Cl -1.957 3.902 5.506
Cl 0.824 1.940 5.506
Cl -1.133 5.330 1.388
Cl 1.957 3.902 1.388
Cl 1.133 5.330 5.506
```

11.
An optimized crystal structure of Hf5ScN4, computed with PBE.

space-group type: C2/m, No. 12
E_form (uncorrected): -1.459 eV/atom
V: 14.01 Å³/atom
density of states at the Fermi level: 5.04 states/eV per cell

Structure (extended XYZ):
```
10
Lattice="6.856 -1.620 0.000 6.856 1.620 0.000 -1.601 0.000 6.307" Properties=species:S:1:pos:R:3 pbc="T T T"
Hf 0.000 0.000 0.000
Hf 4.246 0.000 1.132
Hf 3.578 0.000 4.134
Hf 8.533 0.000 2.173
Hf 7.865 0.000 5.175
Sc -0.801 0.000 3.153
N 1.366 0.000 3.680
N 6.405 0.000 1.548
N 5.706 0.000 4.759
N 10.745 0.000 2.627
```

12.
An optimized crystal structure of SrTh2MoN4, computed with PBE.

space-group type: Cmcm, No. 63
E_form (uncorrected): -1.009 eV/atom
V: 18.17 Å³/atom
density of states at the Fermi level: 4.99 states/eV per cell

Structure (extended XYZ):
```
16
Lattice="1.835 -6.248 0.000 1.835 6.248 0.000 0.000 0.000 12.682" Properties=species:S:1:pos:R:3 pbc="T T T"
Sr 1.835 5.508 9.512
Sr 1.835 -5.508 3.171
Th 1.835 1.662 6.963
Th 1.835 1.662 12.061
Th 1.835 -1.662 0.621
Th 1.835 -1.662 5.720
Mo 1.835 3.780 3.171
Mo 1.835 -3.780 9.512
N 0.000 0.000 0.000
N 0.000 0.000 6.341
N 1.835 3.097 1.287
N 1.835 3.097 5.054
N 1.835 1.461 9.512
N 1.835 -1.461 3.171
N 1.835 -3.097 7.628
N 1.835 -3.097 11.395
```

- The lowest V belongs to which entry?
  Hf5ScN4